VASP calculation (PBE) on an optimized crystal structure of TbSnTe3Au.

Polymorph energy (0 for the lowest one) in eV/atom: 0.045
Crystal system: orthorhombic
Total moment in μB per atom: 0.000

abc: 12.697 4.407 12.596
angles: 90.00 90.00 90.00
Atoms (fractional coordinates):
Tb1 0.040 0.250 0.193
Tb2 0.460 0.750 0.693
Tb3 0.540 0.250 0.307
Tb4 0.960 0.750 0.807
Sn1 0.207 0.250 0.461
Sn2 0.293 0.750 0.961
Sn3 0.707 0.250 0.039
Sn4 0.793 0.750 0.539
Te1 0.024 0.750 0.368
Te2 0.091 0.250 0.936
Te3 0.214 0.750 0.672
Te4 0.286 0.250 0.172
Te5 0.409 0.750 0.436
Te6 0.476 0.250 0.868
Te7 0.524 0.750 0.132
Te8 0.591 0.250 0.564
Te9 0.714 0.750 0.828
Te10 0.786 0.250 0.328
Te11 0.909 0.750 0.064
Te12 0.976 0.250 0.632
Au1 0.229 0.750 0.297
Au2 0.271 0.250 0.797
Au3 0.729 0.750 0.203
Au4 0.771 0.250 0.703